(1)
Below is a relaxed structure of Pt9Pb2, with properties calculated at the GGA-PBE level.

Properties
Space group: P-3m1 (164)

Cell: 2.9641 2.9641 35.0376 Å, 90.00 90.00 120.00°
Element x y z (fractional)
Pt 0.0000 0.0000 0.0000
Pt 0.0000 0.0000 0.1842
Pt 0.0000 0.0000 0.8158
Pt 0.3333 0.6667 0.1226
Pt 0.3333 0.6667 0.7525
Pt 0.3333 0.6667 0.9386
Pt 0.6667 0.3333 0.0614
Pt 0.6667 0.3333 0.2475
Pt 0.6667 0.3333 0.8774
Pb 0.3333 0.6667 0.3171
Pb 0.6667 0.3333 0.6829

(2)
Below is a relaxed structure of GdDySnC, with properties calculated at the GGA-PBE level.

Properties
Space group: P-3m1 (164)

Cell: 3.6398 3.6398 16.0194 Å, 90.00 90.00 120.00°
Element x y z (fractional)
Gd 0.3333 0.6667 0.4145
Gd 0.6667 0.3333 0.5855
Dy 0.3333 0.6667 0.0837
Dy 0.6667 0.3333 0.9163
Sn 0.3333 0.6667 0.7521
Sn 0.6667 0.3333 0.2479
C 0.0000 0.0000 0.0000
C 0.0000 0.0000 0.5000

(3)
Below is a relaxed structure of YAgSO, with properties calculated at the GGA-PBE level.

Properties
Space group: Pca2_1 (29)

Cell: 7.6328 7.8276 5.5071 Å, 90.00 90.00 90.00°
Element x y z (fractional)
Y 0.0493 0.1862 0.0000
Y 0.4507 0.1862 0.5000
Y 0.5493 0.8138 0.0000
Y 0.9507 0.8138 0.5000
Ag 0.1291 0.6230 0.0037
Ag 0.3709 0.6230 0.5037
Ag 0.6291 0.3770 0.0037
Ag 0.8709 0.3770 0.5037
S 0.0934 0.1349 0.4997
S 0.4066 0.1349 0.9997
S 0.5934 0.8651 0.4997
S 0.9066 0.8651 0.9997
O 0.0833 0.5921 0.4928
O 0.4167 0.5921 0.9928
O 0.5833 0.4079 0.4928
O 0.9167 0.4079 0.9928

(4)
Below is a relaxed structure of KPdO3, with properties calculated at the GGA-PBE level.

Properties
Space group: R-3c (167)

Cell: 5.5582 5.5582 5.5582 Å, 61.63 61.63 61.63°
Element x y z (fractional)
K 0.2500 0.2500 0.2500
K 0.7500 0.7500 0.7500
Pd 0.0000 0.0000 0.0000
Pd 0.5000 0.5000 0.5000
O 0.1875 0.7500 0.3125
O 0.2500 0.6875 0.8125
O 0.3125 0.1875 0.7500
O 0.6875 0.8125 0.2500
O 0.7500 0.3125 0.1875
O 0.8125 0.2500 0.6875

(5)
Below is a relaxed structure of HfMg2, with properties calculated at the GGA-PBE level.

Properties
Space group: Cmcm (63)

Cell: 8.4418 8.4418 5.1516 Å, 90.00 90.00 159.07°
Element x y z (fractional)
Hf 0.1079 0.8921 0.7500
Hf 0.8921 0.1079 0.2500
Mg 0.2216 0.7784 0.2500
Mg 0.4449 0.5551 0.7500
Mg 0.5551 0.4449 0.2500
Mg 0.7784 0.2216 0.7500

(6)
Below is a relaxed structure of Lu2AsPd, with properties calculated at the GGA-PBE level.

Properties
Space group: F-43m (216)

Cell: 4.9100 4.9100 4.9100 Å, 60.00 60.00 60.00°
Element x y z (fractional)
Lu 0.0000 0.0000 0.0000
Lu 0.2500 0.2500 0.2500
As 0.5000 0.5000 0.5000
Pd 0.7500 0.7500 0.7500

(7)
Below is a relaxed structure of TbZrS2O, with properties calculated at the GGA-PBE level.

Properties
Space group: C2/m (12)

Cell: 6.2536 6.2536 8.4832 Å, 93.65 93.65 33.22°
Element x y z (fractional)
Tb 0.2390 0.2390 0.3019
Tb 0.7610 0.7610 0.6981
Zr 0.0000 0.0000 0.0000
Zr 0.5000 0.5000 0.5000
S 0.0732 0.0732 0.7134
S 0.3522 0.3522 0.9264
S 0.6478 0.6478 0.0736
S 0.9268 0.9268 0.2866
O 0.3334 0.3334 0.5626
O 0.6666 0.6666 0.4374

(8)
Below is a relaxed structure of LuTaBeFe, with properties calculated at the GGA-PBE level.

Properties
Energy relative to the lowest polymorph listed for this composition in meV per atom: 0.0
Space group: F-43m (216)

Cell: 4.4494 4.4494 4.4494 Å, 60.00 60.00 60.00°
Element x y z (fractional)
Lu 0.0000 0.0000 0.0000
Ta 0.5000 0.5000 0.5000
Be 0.7500 0.7500 0.7500
Fe 0.2500 0.2500 0.2500

no.,uncorrected energy (eV per cell)
1,-59.952
2,-49.046
3,-96.897
4,-46.319
5,-24.819
6,-20.003
7,-75.661
8,-28.000